Entry i
Computed, not measured: a relaxed structure of NaYNF2 at the PBE level of DFT.

a b c (Å): 4.441 4.441 4.481
angles (deg): 90.00 90.00 90.00
Space group P4/mmm (No. 123)
Asymmetric unit:
1 Na 0.000 0.000 0.000 x1
2 Y 0.500 0.500 0.500 x1
3 N 0.500 0.500 0.000 x1
4 F 0.000 0.500 0.500 x2

Results
As for the crystal system: tetragonal.

---

Entry ii
Computed, not measured: a relaxed structure of NaYNF2 at the PBE level of DFT.

a b c (Å): 3.877 3.877 4.454
angles (deg): 90.00 90.00 90.00
Space group P4/mmm (No. 123)
Asymmetric unit:
1 Na 0.000 0.000 0.000 x1
2 Y 0.500 0.500 0.500 x1
3 N 0.000 0.000 0.500 x1
4 F 0.000 0.500 0.000 x2

Results
As for the crystal system: tetragonal.

---

Preferred: entry i; penalty for the next structure: 0.472 eV/atom.

---

Entry i
Computed, not measured: a relaxed structure of NaZnNF2 at the PBE level of DFT.

a b c (Å): 4.063 4.063 4.417
angles (deg): 90.00 90.00 90.00
Space group P4/mmm (No. 123)
Asymmetric unit:
1 Na 0.000 0.000 0.000 x1
2 Zn 0.500 0.500 0.500 x1
3 N 0.000 0.000 0.500 x1
4 F 0.000 0.500 0.000 x2

Results
As for the crystal system: tetragonal.

---

Entry ii
Computed, not measured: a relaxed structure of NaZnNF2 at the PBE level of DFT.

a b c (Å): 4.278 4.278 3.883
angles (deg): 90.00 90.00 90.00
Space group P4/mmm (No. 123)
Asymmetric unit:
1 Na 0.000 0.000 0.000 x1
2 Zn 0.500 0.500 0.500 x1
3 N 0.500 0.500 0.000 x1
4 F 0.000 0.500 0.500 x2

Results
As for the crystal system: tetragonal.

---

Preferred: entry ii; penalty for the next structure: 0.837 eV/atom.

---

Entry i
Computed, not measured: a relaxed structure of NaZrNF2 at the PBE level of DFT.

a b c (Å): 3.675 3.675 4.557
angles (deg): 90.00 90.00 90.00
Space group P4/mmm (No. 123)
Asymmetric unit:
1 Na 0.000 0.000 0.000 x1
2 Zr 0.500 0.500 0.500 x1
3 N 0.000 0.000 0.500 x1
4 F 0.000 0.500 0.000 x2

Results
As for the crystal system: tetragonal.

---

Entry ii
Computed, not measured: a relaxed structure of NaZrNF2 at the PBE level of DFT.

a b c (Å): 4.306 4.306 4.191
angles (deg): 90.00 90.00 90.00
Space group P4/mmm (No. 123)
Asymmetric unit:
1 Na 0.000 0.000 0.000 x1
2 Zr 0.500 0.500 0.500 x1
3 N 0.500 0.500 0.000 x1
4 F 0.000 0.500 0.500 x2

Results
As for the crystal system: tetragonal.

---

Preferred: entry ii; penalty for the next structure: 1.011 eV/atom.